1.
Computed, not measured: a crystal of KMnCr2 relaxed with PBEsol at the SCAN level of DFT.

## Properties
Polymorph energy (0 for the lowest one): 6.2 kJ/mol of atoms
N(E_F): 2.73 states/eV per cell
Density: 4.48 g/cm³
Energy of formation: 923 meV/atom
Space group: P4mm (99)

extended XYZ file:
```
4
Lattice="3.1043 0.0000 0.0000 0.0000 3.1043 0.0000 0.0000 0.0000 7.6235" Properties=species:S:1:pos:R:3 pbc="T T T"
Cr 0.0000 0.0000 7.5774
Cr 1.5521 1.5521 0.9725
K 0.0000 0.0000 3.8653
Mn 1.5521 1.5521 6.6435
```

---

2.
Computed, not measured: a crystal of NiMo3 relaxed with PBEsol at the SCAN level of DFT.

## Properties
N(E_F): 3.61 states/eV per cell
Density: 10.14 g/cm³
Energy of formation: 250 meV/atom
Space group: Fm-3m (225)

extended XYZ file:
```
4
Lattice="4.3133 0.0000 0.0000 2.1566 3.7354 0.0000 2.1566 1.2451 3.5218" Properties=species:S:1:pos:R:3 pbc="T T T"
Mo 2.1566 1.2451 0.8804
Mo 6.4699 3.7354 2.6413
Mo 0.0000 0.0000 0.0000
Ni 4.3133 2.4903 1.7609
```

---

3.
Computed, not measured: a crystal of CuIr relaxed with PBEsol at the SCAN level of DFT.

## Properties
N(E_F): 3.68 states/eV per cell
Density: 15.89 g/cm³
Energy of formation: 309 meV/atom
Space group: Cmcm (63)

extended XYZ file:
```
4
Lattice="2.6104 0.0000 0.0000 0.0000 4.1405 0.0000 -1.3052 0.0000 4.9463" Properties=species:S:1:pos:R:3 pbc="T T T"
Cu 1.3052 3.1054 3.1967
Cu 0.0000 1.0351 1.7497
Ir 1.3052 3.1054 0.6917
Ir 0.0000 1.0351 4.2546
```

---

4.
Computed, not measured: a crystal of CsGa3 relaxed with PBEsol at the SCAN level of DFT.

## Properties
N(E_F): 0.63 states/eV per cell
Density: 5.65 g/cm³
Energy of formation: -229 meV/atom
Space group: I-4m2 (119)

extended XYZ file:
```
12
Lattice="-4.2946 -2.3493 3.9927 -3.6644 -1.6083 -4.8877 7.3682 -4.7634 0.1254" Properties=species:S:1:pos:R:3 pbc="T T T"
Cs 0.0000 0.0000 0.0000
Cs 0.3781 -6.1991 1.7563
Cs -1.2839 -2.8924 1.9143
Ga 2.2829 -2.6792 0.8790
Ga -4.5470 -4.1780 0.7016
Ga -1.9227 -2.7424 -1.7382
Ga 0.7488 -3.3525 -1.1672
Ga -3.0055 -6.1969 0.2102
Ga -1.2076 -5.2134 -1.4613
Ga 3.7638 -4.7693 1.2421
Ga 1.5246 -5.7521 -1.7447
Ga -3.9795 -1.9788 -0.4475
```

---

5.
Computed, not measured: a crystal of YBe2Cu relaxed with PBEsol at the SCAN level of DFT.

## Properties
Polymorph energy (0 for the lowest one): 22.8 kJ/mol of atoms
N(E_F): 1.79 states/eV per cell
Density: 4.88 g/cm³
Energy of formation: 55 meV/atom
Space group: Pm (6)

extended XYZ file:
```
4
Lattice="3.0769 0.0000 -0.0427 0.0000 3.6123 0.0000 -1.4540 0.0000 5.2423" Properties=species:S:1:pos:R:3 pbc="T T T"
Y -0.5057 1.8061 4.1419
Be 2.5084 0.0000 0.3242
Be 2.5152 1.8061 1.3349
Cu 0.9934 0.0000 1.9558
```

---

6.
Computed, not measured: a crystal of BaMg2As relaxed with PBEsol at the SCAN level of DFT.

## Properties
N(E_F): 2.32 states/eV per cell
Density: 4.03 g/cm³
Energy of formation: -194 meV/atom
Space group: Pmmm (47)

extended XYZ file:
```
4
Lattice="-1.9625 1.7066 2.1266 -2.8079 -2.5958 -0.5080 2.9814 -4.4647 6.3344" Properties=species:S:1:pos:R:3 pbc="T T T"
As -0.8945 -2.6769 3.9765
Ba -2.3852 -0.4446 0.8093
Mg 0.9588 -1.4359 2.0371
Mg 2.0226 -3.0289 4.2972
```

---

7.
Computed, not measured: a crystal of Tl2MoPb relaxed with PBEsol at the SCAN level of DFT.

## Properties
Polymorph energy (0 for the lowest one): 0.0 kJ/mol of atoms
N(E_F): 2.23 states/eV per cell
Density: 13.06 g/cm³
Energy of formation: 755 meV/atom
Space group: I-4m2 (119)

extended XYZ file:
```
4
Lattice="-1.1739 2.6274 -3.3392 -3.2086 -2.8192 -1.0902 -0.7532 2.3584 5.0300" Properties=species:S:1:pos:R:3 pbc="T T T"
Mo -2.1913 -0.0959 -2.2147
Pb -3.0766 -0.2783 0.8626
Tl 0.0000 0.0000 0.0000
Tl -2.0592 2.4450 -0.2619
```

---

8.
Computed, not measured: a crystal of RbTiGa3 relaxed with PBEsol at the SCAN level of DFT.

## Properties
N(E_F): 5.23 states/eV per cell
Density: 3.59 g/cm³
Energy of formation: 1628 meV/atom
Space group: Pm-3m (221)

extended XYZ file:
```
5
Lattice="-3.8190 -2.4024 -2.9833 2.9939 0.7556 -4.4410 2.3892 -4.7869 0.7963" Properties=species:S:1:pos:R:3 pbc="T T T"
Ga 1.4969 0.3778 -2.2205
Ga 1.1946 -2.3934 0.3981
Ga -1.9095 -1.2012 -1.4917
Rb 0.0000 0.0000 0.0000
Ti 0.7820 -3.2169 -3.3140
```

---

9.
Computed, not measured: a crystal of Mn4Ru5 relaxed with PBEsol at the SCAN level of DFT.

## Properties
Polymorph energy (0 for the lowest one): 1.9 kJ/mol of atoms
N(E_F): 12.34 states/eV per cell
Density: 10.83 g/cm³
Energy of formation: 9 meV/atom
Space group: P6_3/mcm (193)

extended XYZ file:
```
18
Lattice="-0.3705 4.6426 -2.1875 -5.9116 1.2527 3.6600 6.2769 1.7784 2.7111" Properties=species:S:1:pos:R:3 pbc="T T T"
Mn 0.0000 0.0000 0.0000
Mn -0.1853 2.3213 -1.0938
Mn 1.8301 4.0792 -0.7301
Mn -2.2633 3.9027 -0.4115
Mn -0.0353 5.4951 2.5907
Mn 4.0762 2.3418 1.2537
Mn -4.0189 1.9926 1.8839
Mn 0.0300 2.1786 1.5928
Ru 3.9586 4.6823 0.1892
Ru -4.2679 4.3275 0.8296
Ru -0.1592 4.4672 0.4303
Ru 1.9477 1.7387 0.3344
Ru -2.0142 1.5678 0.6428
Ru 0.1539 3.2065 3.7533
Ru 2.2140 1.6032 3.0274
Ru -2.0341 3.7492 2.2499
Ru -1.8488 1.4279 3.3437
Ru 2.0288 3.9245 1.9336
```

---

10.
Computed, not measured: a crystal of Li2TiF6 relaxed with PBEsol at the SCAN level of DFT.

## Properties
N(E_F): 0.00 states/eV per cell
Density: 3.06 g/cm³
ΔE_f (raw): -3450 meV/atom
Space group: P4_2/mnm (136)

extended XYZ file:
```
18
Lattice="-3.5649 -2.8892 -0.6027 2.8219 -3.0597 -2.0235 1.6616 -3.7009 7.9134" Properties=species:S:1:pos:R:3 pbc="T T T"
Li 0.5621 -1.2521 2.6772
Li 1.0214 -6.0770 5.3208
Li -0.1028 -3.5729 -0.0335
Li 1.0994 -2.4489 5.2363
Ti 0.0000 0.0000 0.0000
Ti 0.4593 -4.8249 2.6436
F 2.2959 -4.8739 2.2351
F 0.5719 -6.5554 3.3576
F -0.2137 -1.7107 -0.7552
F -0.5293 -4.2382 -1.8710
F -1.3773 -4.7759 3.0522
F 2.9835 -6.1546 4.9415
F 0.3467 -3.0945 1.9297
F 0.0575 -5.4096 0.9077
F -0.9177 -6.0504 5.8093
F -2.0649 -3.4953 0.3458
F 1.8363 -3.5994 -0.5221
F 0.8611 -4.2402 4.3796
```

---

11.
Computed, not measured: a crystal of TaAg4Pb relaxed with PBEsol at the SCAN level of DFT.

## Properties
N(E_F): 2.70 states/eV per cell
Density: 12.09 g/cm³
Energy of formation: 583 meV/atom
Space group: F-43m (216)

extended XYZ file:
```
6
Lattice="-3.9029 2.5148 2.7972 -1.7197 -2.0639 4.7079 1.1892 2.5096 4.6550" Properties=species:S:1:pos:R:3 pbc="T T T"
Ag -1.6603 1.1087 4.5539
Ag -1.0633 2.3685 6.8908
Ag -3.6196 2.3711 5.9582
Ag -2.5236 0.0725 6.9173
Pb -3.3250 2.2203 9.1201
Ta 0.0000 0.0000 0.0000
```

---

12.
Computed, not measured: a crystal of Li2B4O7 relaxed with PBEsol at the SCAN level of DFT.

## Properties
N(E_F): 0.00 states/eV per cell
Density: 2.40 g/cm³
ΔE_f (raw): -2629 meV/atom
Space group: I4_1cd (110)

extended XYZ file:
```
52
Lattice="8.4858 0.0432 0.0692 -3.2574 7.8358 -0.0692 -3.2574 -3.5127 7.0047" Properties=species:S:1:pos:R:3 pbc="T T T"
Li 0.6980 1.3088 2.3013
Li -0.1161 3.7982 3.9223
Li 3.3082 -0.2422 1.7825
Li 2.4940 -3.4270 6.9404
Li 4.1268 4.7077 3.4034
Li -4.1921 1.0099 5.7691
Li 4.9410 4.3486 0.4546
Li -1.7489 -0.7926 5.2502
B 2.7316 2.8884 1.5237
B 1.9583 2.4660 4.9982
B -3.8721 4.4782 6.1422
B -1.3880 1.8942 6.1489
B -2.2847 6.2171 2.6119
B 3.6283 -1.4345 5.0607
B -1.5114 2.9117 1.4612
B 6.1124 -0.2906 2.7437
B 4.9087 1.8220 2.1609
B 1.8444 0.0552 4.3212
B 1.2140 -2.0847 5.0629
B -1.8503 1.8228 3.6863
B -2.3985 6.6709 0.1493
B 2.1995 4.8097 5.6286
B 0.6658 3.9533 0.7842
B 2.3926 5.3657 1.5259
O 3.4819 1.8076 1.8660
O 1.5281 1.4703 4.1784
O 0.6729 -2.9308 6.1184
O -1.2809 2.4061 4.8939
O -2.7148 5.9196 1.3569
O 4.9158 -1.7059 5.4030
O -0.7610 3.6949 0.6414
O 2.9620 6.1931 2.5814
O 1.4254 2.7038 1.1367
O 1.6960 3.7730 4.6619
O -0.9520 7.0818 0.1120
O 2.5761 5.9894 0.1695
O -2.5469 5.3397 3.6373
O 3.2909 -0.1592 4.6737
O 5.6683 2.6886 1.1942
O -1.6669 0.3303 3.6490
O 3.2906 4.1496 1.5762
O 2.6438 2.1484 6.1536
O -4.8169 4.9679 5.2628
O -2.2063 0.8051 6.3725
O 1.6583 -0.4415 2.9047
O 2.6834 -2.4396 5.1132
O -0.9523 2.4034 2.6166
O 5.2941 0.3897 1.8643
O -3.2371 2.1481 3.4461
O 1.0058 -0.6674 5.2492
O -6.4946 4.3097 6.9138
O 1.0058 5.0068 1.7122
```

---

13.
Computed, not measured: a crystal of YTi2NiRu relaxed with PBEsol at the SCAN level of DFT.

## Properties
N(E_F): 4.79 states/eV per cell
Density: 5.81 g/cm³
Energy of formation: 184 meV/atom
Space group: P4/mmm (123)

extended XYZ file:
```
5
Lattice="4.5189 0.0000 0.0000 0.0000 4.5189 0.0000 0.0000 0.0000 4.8222" Properties=species:S:1:pos:R:3 pbc="T T T"
Y 2.2594 2.2594 2.4111
Ru 0.0000 0.0000 0.0000
Ti 0.0000 2.2594 0.0000
Ti 2.2594 0.0000 0.0000
Ni 0.0000 0.0000 2.4111
```

---

14.
Computed, not measured: a crystal of Cd2CuNi relaxed with PBEsol at the SCAN level of DFT.

## Properties
Polymorph energy (0 for the lowest one): 0.5 kJ/mol of atoms
N(E_F): 1.62 states/eV per cell
Density: 9.69 g/cm³
Energy of formation: 92 meV/atom
Space group: I4/mmm (139)

extended XYZ file:
```
4
Lattice="4.3947 0.0000 0.0000 -2.1974 3.7829 0.0642 0.0000 2.4913 3.6204" Properties=species:S:1:pos:R:3 pbc="T T T"
Ni 0.0000 0.0000 0.0000
Cu 2.1974 1.2456 1.8102
Cd 0.0000 2.5143 0.9372
Cd 2.1974 3.7599 2.7474
```

---

15.
Computed, not measured: a crystal of Li3Zn relaxed with PBEsol at the SCAN level of DFT.

## Properties
N(E_F): 1.39 states/eV per cell
Density: 2.25 g/cm³
Energy of formation: -97 meV/atom
Space group: C2/m (12)

extended XYZ file:
```
4
Lattice="-0.0734 0.8171 -2.6191 2.4541 -4.1003 -1.3480 -4.4090 -2.0036 0.9365" Properties=species:S:1:pos:R:3 pbc="T T T"
Zn 0.0000 0.0000 0.0000
Li 1.1904 -1.6416 -1.9835
Li -0.4241 -3.9599 -1.2235
Li -1.6041 -1.3269 -1.8071
```

---

16.
Computed, not measured: a crystal of SrLa2Pb relaxed with PBEsol at the SCAN level of DFT.

## Properties
N(E_F): 3.56 states/eV per cell
Density: 7.31 g/cm³
Energy of formation: -427 meV/atom
Space group: P4/mmm (123)

extended XYZ file:
```
4
Lattice="5.0407 0.0000 0.0000 0.0000 5.0407 0.0000 0.0000 0.0000 5.1160" Properties=species:S:1:pos:R:3 pbc="T T T"
La 0.0000 2.5204 0.0000
La 2.5204 0.0000 0.0000
Pb 2.5204 2.5204 2.5580
Sr 0.0000 0.0000 2.5580
```

---

17.
Computed, not measured: a crystal of La2Y relaxed with PBEsol at the SCAN level of DFT.

## Properties
Polymorph energy (0 for the lowest one): 0.9 kJ/mol of atoms
N(E_F): 15.55 states/eV per cell
Density: 6.18 g/cm³
Energy of formation: 25 meV/atom
Space group: Pnma (62)

extended XYZ file:
```
12
Lattice="-1.5655 -3.4652 -3.4278 3.5868 -5.0804 3.4978 -8.7307 -2.0158 6.0250" Properties=species:S:1:pos:R:3 pbc="T T T"
La -4.5739 -8.5753 5.0233
La -1.6715 -7.9003 3.0155
La -6.1710 -5.8770 6.8478
La -0.3485 -4.5278 2.8249
La -6.3609 -6.0337 3.2700
La -0.5384 -4.6845 -0.7529
La -5.0379 -2.6611 3.0794
La -2.1356 -1.9861 1.0716
Y 1.2375 -7.2002 0.9792
Y -3.2274 -5.2258 4.8453
Y -3.4820 -5.3356 1.2496
Y -7.9469 -3.3612 5.1157
```

---

18.
Computed, not measured: a crystal of LiNiCSO7 relaxed with PBEsol at the SCAN level of DFT.

## Properties
Density: 2.83 g/cm³
ΔE_f (raw): -1543 meV/atom
Space group: P2_1 (4)

extended XYZ file:
```
22
Lattice="4.8872 0.0000 0.0120 0.0000 6.4295 0.0000 -0.5405 0.0000 8.2920" Properties=species:S:1:pos:R:3 pbc="T T T"
Li 0.6187 3.1064 6.5139
Li 3.7280 6.3211 1.7901
Ni 3.4532 1.6476 5.4748
Ni 0.8935 4.8623 2.8292
C 2.9723 1.5610 7.7376
C 1.3743 4.7757 0.5664
S 3.2581 4.8903 4.8409
S 1.0886 1.6756 3.4631
O 1.0828 4.5459 7.6792
O 4.1747 1.6603 7.2033
O 2.0864 1.6908 6.7672
O 3.5100 6.0571 5.6829
O 3.6784 3.7040 5.6178
O 0.3731 1.7501 4.7689
O 1.7938 4.7623 4.5138
O 2.5529 1.5475 3.7902
O 3.9735 4.9648 3.5351
O 0.6683 0.4893 2.6862
O 0.8367 2.8424 2.6211
O 2.2603 4.9056 1.5368
O 0.1720 4.8750 1.1007
O 3.2638 1.3312 0.6248
```

---

19.
Computed, not measured: a crystal of LaFeP3 relaxed with PBEsol at the SCAN level of DFT.

## Properties
N(E_F): 7.95 states/eV per cell
Density: 3.39 g/cm³
Energy of formation: 1432 meV/atom
Space group: Pm-3m (221)

extended XYZ file:
```
5
Lattice="5.2012 0.0000 0.0000 0.0000 5.2012 0.0000 0.0000 0.0000 5.2012" Properties=species:S:1:pos:R:3 pbc="T T T"
P 0.0000 2.6006 0.0000
P 0.0000 0.0000 2.6006
P 2.6006 0.0000 0.0000
Fe 2.6006 2.6006 2.6006
La 0.0000 0.0000 0.0000
```

---

20.
Computed, not measured: a crystal of La2Ir relaxed with PBEsol at the SCAN level of DFT.

## Properties
N(E_F): 11.28 states/eV per cell
Density: 8.85 g/cm³
Energy of formation: -752 meV/atom
Space group: Pa-3 (205)

extended XYZ file:
```
12
Lattice="7.0671 0.0000 0.0000 0.0000 7.0671 0.0000 0.0000 0.0000 7.0671" Properties=species:S:1:pos:R:3 pbc="T T T"
Ir 0.0000 0.0000 0.0000
Ir 3.5336 3.5336 0.0000
Ir 3.5336 0.0000 3.5336
Ir 0.0000 3.5336 3.5336
La 2.2831 2.2831 2.2831
La 4.7840 4.7840 4.7840
La 5.8167 1.2504 4.7840
La 1.2504 5.8167 2.2831
La 4.7840 5.8167 1.2504
La 2.2831 1.2504 5.8167
La 1.2504 4.7840 5.8167
La 5.8167 2.2831 1.2504
```